VASP calculation (GGA-PBE) on a relaxed NaCuTeSe3 crystal.

a = 8.6832 Å, b = 4.0628 Å, c = 8.8097 Å
α = 90.00°, β = 103.31°, γ = 90.00°
Fractional positions:
Na 0.2437 0.2500 0.1839
Na 0.7563 0.7500 0.8161
Cu 0.4276 0.7500 0.9270
Cu 0.5724 0.2500 0.0730
Te 0.1542 0.2500 0.6695
Te 0.8458 0.7500 0.3305
Se 0.1212 0.7500 0.8818
Se 0.1816 0.7500 0.4486
Se 0.4839 0.2500 0.7836
Se 0.5161 0.7500 0.2164
Se 0.8184 0.2500 0.5514
Se 0.8788 0.2500 0.1182

Properties
As for the uncorrected formation energy: -0.33 eV/atom. The value obtained for the density of states at the Fermi level is 0.09 states/eV per atom.